1.
5
Lattice="3.3553 0.0000 0.0000 0.0000 4.9212 0.0000 0.0000 0.0000 4.9212" Properties=species:S:1:pos:R:3 comment="SrBeP2C, optimized geometry, DFT PBEsol" volume_a3_per_atom=16.25 ef_ev_per_atom=0.43 n_ef_per_ev_atom=0.4404 total_magnetization_mub_per_cell=0.00 pbc="T T T"
Sr 1.6777 2.4606 2.4606
C 0.0000 0.0000 0.0000
Be 1.6777 0.0000 0.0000
P 0.0000 0.0000 2.4606
P 0.0000 2.4606 0.0000


2.
8
Lattice="-0.0139 4.9102 -2.9642 -4.1882 -0.3581 4.9755 1.4650 2.8689 4.7455" Properties=species:S:1:pos:R:3 comment="BePb2C, optimized geometry, DFT PBEsol" volume_a3_per_atom=20.96 ef_ev_per_atom=1.19 n_ef_per_ev_atom=0.3817 total_magnetization_mub_per_cell=0.00 pbc="T T T"
Pb -1.8606 2.7110 7.6007
Pb -2.6009 4.0207 3.5713
Pb -0.9123 2.0260 0.5858
Pb -0.1005 6.0844 1.7558
Be -1.7313 1.7657 2.9331
Be 0.7255 3.8896 0.8907
C -1.0058 5.6553 3.8237
C 0.0000 0.0000 0.0000